1.
Material: MgTePO2
Method: DFT, GGA-PBE
State: optimized geometry

Results
ΔE_f (raw) in meV per atom: -235
Volume in A^3/atom: 17.32
Symmetry: P4/mmm (123)
Energy in eV/atom: -4.248

POSCAR file:
```
MgTePO2
1.0
3.888 0.000 0.000
0.000 3.888 0.000
0.000 0.000 5.729
O Mg P Te
2 1 1 1
Direct
0.500 0.000 0.000
0.000 0.500 0.000
0.000 0.000 0.000
0.000 0.000 0.500
0.500 0.500 0.500
```

2.
Material: MgTePO2
Method: DFT, GGA-PBE
State: optimized geometry

Results
ΔE_f (raw) in meV per atom: -473
Volume in A^3/atom: 16.91
Symmetry: P4/mmm (123)
Energy in eV/atom: -4.486

POSCAR file:
```
MgTePO2
1.0
4.013 0.000 0.000
0.000 4.013 0.000
0.000 0.000 5.249
Mg O Te P
1 2 1 1
Direct
0.500 0.500 0.500
0.000 0.500 0.000
0.500 0.000 0.000
0.000 0.000 0.000
0.000 0.000 0.500
```

3.
Material: MgTeP2O
Method: DFT, GGA-PBE
State: optimized geometry

Results
ΔE_f (raw) in meV per atom: 195
Volume in A^3/atom: 18.77
Symmetry: P4/mmm (123)
Energy in eV/atom: -3.907

POSCAR file:
```
MgTeP2O
1.0
-3.278 -3.776 -0.690
3.717 -3.349 0.669
-0.699 -0.054 3.615
Mg P Te O
1 2 1 1
Direct
0.000 0.000 0.000
0.000 0.500 0.000
0.500 0.000 0.000
0.500 0.500 0.500
0.000 0.000 0.500
```

4.
Material: MgTi2P3O12
Method: DFT, GGA-PBE
State: optimized geometry

Results
ΔE_f (raw) in meV per atom: -2571
Volume in A^3/atom: 12.47
Symmetry: R-3c (167)
Energy in eV/atom: -7.744

POSCAR file:
```
MgTi2P3O12
1.0
-2.672 -7.927 1.652
2.924 -6.421 -4.787
5.465 -5.562 3.449
O P Ti Mg
24 6 4 2
Direct
0.258 0.057 0.909
0.387 0.000 0.181
0.409 0.557 0.758
0.113 0.319 0.500
0.091 0.742 0.943
0.000 0.181 0.387
0.591 0.443 0.242
0.057 0.909 0.258
0.242 0.591 0.443
0.943 0.091 0.742
0.758 0.409 0.557
0.319 0.500 0.113
0.887 0.681 0.500
0.500 0.113 0.319
0.500 0.887 0.681
0.681 0.500 0.887
0.443 0.242 0.591
0.819 0.613 0.000
0.557 0.758 0.409
0.613 0.000 0.819
0.000 0.819 0.613
0.181 0.387 0.000
0.742 0.943 0.091
0.909 0.258 0.057
0.046 0.750 0.454
0.750 0.454 0.046
0.954 0.250 0.546
0.546 0.954 0.250
0.250 0.546 0.954
0.454 0.046 0.750
0.644 0.644 0.644
0.356 0.356 0.356
0.856 0.856 0.856
0.144 0.144 0.144
0.000 0.000 0.000
0.500 0.500 0.500
```

5.
Material: MgTiPO2
Method: DFT, GGA-PBE
State: optimized geometry

Results
ΔE_f (raw) in meV per atom: -623
Volume in A^3/atom: 14.29
Symmetry: P4/mmm (123)
Energy in eV/atom: -5.586

POSCAR file:
```
MgTiPO2
1.0
3.744 0.000 0.000
0.000 3.744 0.000
0.000 0.000 5.097
Mg O Ti P
1 2 1 1
Direct
0.000 0.000 0.000
0.500 0.000 0.000
0.000 0.500 0.000
0.500 0.500 0.500
0.000 0.000 0.500
```

6.
Material: MgTiPO2
Method: DFT, GGA-PBE
State: optimized geometry

Results
ΔE_f (raw) in meV per atom: -1540
Volume in A^3/atom: 15.12
Symmetry: P4/mmm (123)
Energy in eV/atom: -6.503

POSCAR file:
```
MgTiPO2
1.0
-0.028 1.899 3.282
-1.699 -2.941 1.687
4.700 -2.021 1.210
Ti Mg O P
1 1 2 1
Direct
0.000 0.000 0.000
0.500 0.500 0.500
0.000 0.500 0.000
0.500 0.000 0.000
0.000 0.000 0.500
```